a.
A relaxed structure of Hf2NiIr2, computed with PBE-GGA.

a = 6.690 Å, b = 6.690 Å, c = 3.881 Å
α = 90.00°, β = 90.00°, γ = 90.00°
Element x y z (fractional)
Hf1 0.172 0.328 0.000
Hf2 0.328 0.828 0.000
Hf3 0.672 0.172 0.000
Hf4 0.828 0.672 0.000
Ni1 0.000 0.000 0.500
Ni2 0.500 0.500 0.500
Ir1 0.139 0.639 0.500
Ir2 0.361 0.139 0.500
Ir3 0.639 0.861 0.500
Ir4 0.861 0.361 0.500

Properties
M_tot in μB/atom: 0.000
Calculated volume in Å³/f.u.: 86.9
Density in g/cm3: 15.29

=====

b.
A relaxed structure of Hf2NiIr2, computed with PBE-GGA.

a = 6.164 Å, b = 6.164 Å, c = 6.164 Å
α = 138.17°, β = 138.17°, γ = 60.64°
Element x y z (fractional)
Hf1 0.250 0.750 0.500
Hf2 0.750 0.250 0.500
Ni1 0.000 0.000 0.000
Ir1 0.384 0.384 0.000
Ir2 0.616 0.616 0.000

Properties
M_tot in μB/atom: 0.076
Calculated volume in Å³/f.u.: 103.0
Density in g/cm3: 12.89

=====

Of them, a has the highest stability.

=====

a.
A relaxed structure of HfNpIr2, computed with PBE-GGA.

a = 4.932 Å, b = 4.932 Å, c = 3.073 Å
α = 90.00°, β = 90.00°, γ = 90.00°
Element x y z (fractional)
Hf1 0.000 0.000 0.000
Np1 0.500 0.500 0.000
Ir1 0.000 0.500 0.500
Ir2 0.500 0.000 0.500

Properties
M_tot in μB/atom: 0.865
Calculated volume in Å³/f.u.: 74.8
Density in g/cm3: 17.77

=====

b.
A relaxed structure of HfNpIr2, computed with PBE-GGA.

a = 6.574 Å, b = 6.574 Å, c = 6.574 Å
α = 34.74°, β = 34.74°, γ = 34.74°
Element x y z (fractional)
Hf1 0.000 0.000 0.000
Np1 0.500 0.500 0.500
Ir1 0.252 0.252 0.252
Ir2 0.748 0.748 0.748

Properties
M_tot in μB/atom: 0.720
Calculated volume in Å³/f.u.: 82.3
Density in g/cm3: 16.13

=====

c.
A relaxed structure of HfNpIr2, computed with PBE-GGA.

a = 4.738 Å, b = 4.738 Å, c = 4.738 Å
α = 60.00°, β = 60.00°, γ = 60.00°
Element x y z (fractional)
Hf1 0.000 0.000 0.000
Np1 0.500 0.500 0.500
Ir1 0.250 0.250 0.250
Ir2 0.750 0.750 0.750

Properties
M_tot in μB/atom: 0.892
Calculated volume in Å³/f.u.: 75.2
Density in g/cm3: 17.66

=====

Of them, a has the highest stability.

=====

a.
A relaxed structure of HfPIrO2, computed with PBE-GGA.

a = 3.887 Å, b = 3.887 Å, c = 5.720 Å
α = 90.00°, β = 90.00°, γ = 90.00°
Element x y z (fractional)
Hf1 0.000 0.000 0.000
P1 0.000 0.000 0.500
Ir1 0.500 0.500 0.500
O1 0.000 0.500 0.000
O2 0.500 0.000 0.000

Properties
M_tot in μB/atom: 0.419
Calculated volume in Å³/f.u.: 86.4
Density in g/cm3: 8.33

=====

b.
A relaxed structure of HfPIrO2, computed with PBE-GGA.

a = 3.880 Å, b = 3.880 Å, c = 4.825 Å
α = 90.00°, β = 90.00°, γ = 90.00°
Element x y z (fractional)
Hf1 0.000 0.000 0.000
P1 0.500 0.500 0.000
Ir1 0.500 0.500 0.500
O1 0.000 0.500 0.500
O2 0.500 0.000 0.500

Properties
M_tot in μB/atom: 0.050
Calculated volume in Å³/f.u.: 72.6
Density in g/cm3: 9.92

=====

Of them, a has the highest stability.

=====

a.
A relaxed structure of HfIr2Os, computed with PBE-GGA.

a = 4.517 Å, b = 4.517 Å, c = 4.517 Å
α = 60.00°, β = 60.00°, γ = 60.00°
Element x y z (fractional)
Hf1 0.000 0.000 0.000
Ir1 0.250 0.250 0.250
Ir2 0.750 0.750 0.750
Os1 0.500 0.500 0.500

Properties
M_tot in μB/atom: 0.514
Calculated volume in Å³/f.u.: 65.1
Density in g/cm3: 19.20

=====

b.
A relaxed structure of HfIr2Os, computed with PBE-GGA.

a = 3.986 Å, b = 3.986 Å, c = 3.929 Å
α = 90.00°, β = 90.00°, γ = 90.00°
Element x y z (fractional)
Hf1 0.000 0.000 0.000
Ir1 0.000 0.500 0.500
Ir2 0.500 0.000 0.500
Os1 0.500 0.500 0.000

Properties
M_tot in μB/atom: 0.000
Calculated volume in Å³/f.u.: 62.4
Density in g/cm3: 20.04

=====

Of them, b has the highest stability.

=====

a.
A relaxed structure of HfIrOs3, computed with PBE-GGA.

a = 4.684 Å, b = 4.684 Å, c = 4.684 Å
α = 90.00°, β = 90.00°, γ = 90.00°
Element x y z (fractional)
Hf1 0.000 0.000 0.000
Ir1 0.500 0.500 0.500
Os1 0.000 0.500 0.500
Os2 0.500 0.000 0.500
Os3 0.500 0.500 0.000

Properties
M_tot in μB/atom: 0.000
Calculated volume in Å³/f.u.: 102.8
Density in g/cm3: 15.21

=====

b.
A relaxed structure of HfIrOs3, computed with PBE-GGA.

a = 4.682 Å, b = 4.682 Å, c = 4.682 Å
α = 90.00°, β = 90.00°, γ = 90.00°
Element x y z (fractional)
Hf1 0.000 0.000 0.000
Ir1 0.500 0.500 0.500
Os1 0.000 0.000 0.500
Os2 0.000 0.500 0.000
Os3 0.500 0.000 0.000

Properties
M_tot in μB/atom: 0.000
Calculated volume in Å³/f.u.: 102.6
Density in g/cm3: 15.23

=====

Of them, a has the highest stability.

=====

a.
A relaxed structure of Hf3PIr, computed with PBE-GGA.

a = 4.703 Å, b = 4.703 Å, c = 4.703 Å
α = 90.00°, β = 90.00°, γ = 90.00°
Element x y z (fractional)
Hf1 0.000 0.000 0.500
Hf2 0.000 0.500 0.000
Hf3 0.500 0.000 0.000
P1 0.000 0.000 0.000
Ir1 0.500 0.500 0.500

Properties
M_tot in μB/atom: 0.000
Calculated volume in Å³/f.u.: 104.0
Density in g/cm3: 12.11

=====

b.
A relaxed structure of Hf3PIr, computed with PBE-GGA.

a = 8.202 Å, b = 5.857 Å, c = 9.419 Å
α = 90.00°, β = 123.79°, γ = 90.00°
Element x y z (fractional)
Hf1 0.040 0.057 0.328
Hf2 0.040 0.443 0.828
Hf3 0.319 0.202 0.708
Hf4 0.319 0.298 0.208
Hf5 0.389 0.715 0.904
Hf6 0.389 0.785 0.404
Hf7 0.611 0.215 0.596
Hf8 0.611 0.285 0.096
Hf9 0.681 0.702 0.792
Hf10 0.681 0.798 0.292
Hf11 0.960 0.557 0.172
Hf12 0.960 0.943 0.672
P1 0.273 0.097 0.952
P2 0.273 0.403 0.452
P3 0.727 0.597 0.548
P4 0.727 0.903 0.048
Ir1 0.157 0.685 0.559
Ir2 0.157 0.815 0.059
Ir3 0.843 0.185 0.941
Ir4 0.843 0.315 0.441

Properties
M_tot in μB/atom: 0.000
Calculated volume in Å³/f.u.: 94.0
Density in g/cm3: 13.40

=====

Of them, b has the highest stability.

=====

a.
A relaxed structure of HfPIr3, computed with PBE-GGA.

a = 4.431 Å, b = 4.431 Å, c = 4.431 Å
α = 90.00°, β = 90.00°, γ = 90.00°
Element x y z (fractional)
Hf1 0.000 0.000 0.000
P1 0.500 0.500 0.500
Ir1 0.000 0.500 0.500
Ir2 0.500 0.000 0.500
Ir3 0.500 0.500 0.000

Properties
M_tot in μB/atom: 0.000
Calculated volume in Å³/f.u.: 87.0
Density in g/cm3: 15.01

=====

b.
A relaxed structure of HfPIr3, computed with PBE-GGA.

a = 4.824 Å, b = 4.824 Å, c = 4.824 Å
α = 90.00°, β = 90.00°, γ = 90.00°
Element x y z (fractional)
Hf1 0.000 0.000 0.000
P1 0.500 0.500 0.500
Ir1 0.000 0.000 0.500
Ir2 0.000 0.500 0.000
Ir3 0.500 0.000 0.000

Properties
M_tot in μB/atom: 0.109
Calculated volume in Å³/f.u.: 112.3
Density in g/cm3: 11.63

=====

Of them, a has the highest stability.

=====

a.
A relaxed structure of HfSb2PIr, computed with PBE-GGA.

a = 4.973 Å, b = 4.973 Å, c = 4.713 Å
α = 90.00°, β = 90.00°, γ = 90.00°
Element x y z (fractional)
Hf1 0.000 0.000 0.000
Sb1 0.000 0.500 0.500
Sb2 0.500 0.000 0.500
P1 0.000 0.000 0.500
Ir1 0.500 0.500 0.000

Properties
M_tot in μB/atom: 0.000
Calculated volume in Å³/f.u.: 116.5
Density in g/cm3: 9.19

=====

b.
A relaxed structure of HfSb2PIr, computed with PBE-GGA.

a = 5.450 Å, b = 5.450 Å, c = 4.844 Å
α = 90.00°, β = 90.00°, γ = 90.00°
Element x y z (fractional)
Hf1 0.000 0.000 0.000
Sb1 0.000 0.500 0.000
Sb2 0.500 0.000 0.000
P1 0.500 0.500 0.500
Ir1 0.000 0.000 0.500

Properties
M_tot in μB/atom: 0.000
Calculated volume in Å³/f.u.: 143.9
Density in g/cm3: 7.45

=====

Of them, a has the highest stability.

=====

a.
A relaxed structure of HfPaIr, computed with PBE-GGA.

a = 4.363 Å, b = 4.363 Å, c = 4.156 Å
α = 90.00°, β = 90.00°, γ = 120.00°
Element x y z (fractional)
Hf1 0.000 0.000 0.000
Pa1 0.333 0.667 0.472
Ir1 0.667 0.333 0.818

Properties
M_tot in μB/atom: 0.000
Calculated volume in Å³/f.u.: 68.5
Density in g/cm3: 14.59

=====

b.
A relaxed structure of HfPaIr, computed with PBE-GGA.

a = 6.517 Å, b = 6.517 Å, c = 6.517 Å
α = 151.54°, β = 151.54°, γ = 40.68°
Element x y z (fractional)
Hf1 0.000 0.000 0.000
Pa1 0.700 0.700 0.000
Ir1 0.370 0.370 0.000

Properties
M_tot in μB/atom: 0.000
Calculated volume in Å³/f.u.: 62.7
Density in g/cm3: 15.93

=====

c.
A relaxed structure of HfPaIr, computed with PBE-GGA.

a = 5.597 Å, b = 3.568 Å, c = 6.798 Å
α = 90.00°, β = 90.00°, γ = 90.00°
Element x y z (fractional)
Hf1 0.250 0.000 0.217
Hf2 0.750 0.000 0.783
Pa1 0.250 0.500 0.636
Pa2 0.750 0.500 0.364
Ir1 0.000 0.500 0.000
Ir2 0.500 0.500 0.000

Properties
M_tot in μB/atom: 0.224
Calculated volume in Å³/f.u.: 67.9
Density in g/cm3: 14.72

=====

Of them, b has the highest stability.

=====

a.
A relaxed structure of HfPaIr2, computed with PBE-GGA.

a = 3.187 Å, b = 3.187 Å, c = 7.430 Å
α = 90.00°, β = 90.00°, γ = 90.00°
Element x y z (fractional)
Hf1 0.000 0.000 0.000
Pa1 0.000 0.000 0.500
Ir1 0.500 0.500 0.221
Ir2 0.500 0.500 0.779

Properties
M_tot in μB/atom: 0.000
Calculated volume in Å³/f.u.: 75.5
Density in g/cm3: 17.47

=====

b.
A relaxed structure of HfPaIr2, computed with PBE-GGA.

a = 6.660 Å, b = 6.660 Å, c = 6.660 Å
α = 34.41°, β = 34.41°, γ = 34.41°
Element x y z (fractional)
Hf1 0.000 0.000 0.000
Pa1 0.500 0.500 0.500
Ir1 0.254 0.254 0.254
Ir2 0.746 0.746 0.746

Properties
M_tot in μB/atom: 0.000
Calculated volume in Å³/f.u.: 84.2
Density in g/cm3: 15.66

=====

Of them, a has the highest stability.

=====

a.
A relaxed structure of Hf7Ir2Pd2, computed with PBE-GGA.

a = 6.140 Å, b = 6.140 Å, c = 6.665 Å
α = 90.00°, β = 90.00°, γ = 106.06°
Element x y z (fractional)
Hf1 0.000 0.000 0.000
Hf2 0.000 0.500 0.268
Hf3 0.000 0.500 0.732
Hf4 0.500 0.000 0.268
Hf5 0.500 0.000 0.732
Hf6 0.500 0.500 0.261
Hf7 0.500 0.500 0.739
Ir1 0.283 0.717 0.000
Ir2 0.717 0.283 0.000
Pd1 0.193 0.193 0.500
Pd2 0.807 0.807 0.500

Properties
M_tot in μB/atom: 0.000
Calculated volume in Å³/f.u.: 241.5
Density in g/cm3: 12.70

=====

b.
A relaxed structure of Hf7Ir2Pd2, computed with PBE-GGA.

a = 8.669 Å, b = 8.669 Å, c = 8.669 Å
α = 157.43°, β = 68.86°, γ = 115.92°
Element x y z (fractional)
Hf1 0.000 0.000 0.000
Hf2 0.289 0.410 0.879
Hf3 0.314 0.631 0.683
Hf4 0.530 0.410 0.121
Hf5 0.636 0.263 0.373
Hf6 0.890 0.263 0.627
Hf7 0.947 0.631 0.317
Ir1 0.160 0.927 0.233
Ir2 0.694 0.927 0.767
Pd1 0.254 0.754 0.500
Pd2 0.639 0.639 0.000

Properties
M_tot in μB/atom: 0.000
Calculated volume in Å³/f.u.: 223.1
Density in g/cm3: 13.74

=====

Of them, b has the highest stability.

=====

a.
A relaxed structure of HfIr3Pd, computed with PBE-GGA.

a = 4.689 Å, b = 4.689 Å, c = 4.689 Å
α = 90.00°, β = 90.00°, γ = 90.00°
Element x y z (fractional)
Hf1 0.000 0.000 0.000
Ir1 0.000 0.500 0.500
Ir2 0.500 0.000 0.500
Ir3 0.500 0.500 0.000
Pd1 0.500 0.500 0.500

Properties
M_tot in μB/atom: 0.363
Calculated volume in Å³/f.u.: 103.1
Density in g/cm3: 13.88

=====

b.
A relaxed structure of HfIr3Pd, computed with PBE-GGA.

a = 4.787 Å, b = 4.787 Å, c = 4.787 Å
α = 90.00°, β = 90.00°, γ = 90.00°
Element x y z (fractional)
Hf1 0.000 0.000 0.000
Ir1 0.000 0.000 0.500
Ir2 0.000 0.500 0.000
Ir3 0.500 0.000 0.000
Pd1 0.500 0.500 0.500

Properties
M_tot in μB/atom: 0.285
Calculated volume in Å³/f.u.: 109.7
Density in g/cm3: 13.04

=====

Of them, a has the highest stability.

=====

a.
A relaxed structure of HfIrPd, computed with PBE-GGA.

a = 5.197 Å, b = 5.197 Å, c = 5.197 Å
α = 142.72°, β = 142.72°, γ = 53.75°
Element x y z (fractional)
Hf1 0.000 0.000 0.000
Ir1 0.350 0.350 0.000
Pd1 0.666 0.666 0.000

Properties
M_tot in μB/atom: 0.000
Calculated volume in Å³/f.u.: 51.2
Density in g/cm3: 15.48

=====

b.
A relaxed structure of HfIrPd, computed with PBE-GGA.

a = 3.309 Å, b = 3.309 Å, c = 9.338 Å
α = 90.00°, β = 90.00°, γ = 90.00°
Element x y z (fractional)
Hf1 0.250 0.250 0.249
Hf2 0.750 0.750 0.751
Ir1 0.250 0.250 0.901
Ir2 0.750 0.750 0.099
Pd1 0.250 0.250 0.585
Pd2 0.750 0.750 0.415

Properties
M_tot in μB/atom: 0.000
Calculated volume in Å³/f.u.: 51.1
Density in g/cm3: 15.50

=====

Of them, b has the highest stability.